Material: BaBiCl5
Method: DFT, PBE
State: relaxed

Lattice parameters (Å, degrees): 7.6961 7.6961 10.8050 96.00 111.92 109.22
Closest atoms and distances in Å follow each position.
Fractional coordinates of all 14 atoms:
Bi: 0.5000 0.0000 0.5000  6 Cl 2.68-2.77
Bi: 0.0000 0.0000 0.0000  6 Cl 2.68-2.77
Ba: 0.2003 0.4503 0.7500  7 Cl 3.04-3.27
Ba: 0.7997 0.5497 0.2500  7 Cl 3.04-3.27
Cl: 0.6230 0.7693 0.3835  1 Bi 2.68
Cl: 0.1142 0.7605 0.8835  1 Bi 2.68
Cl: 0.3374 0.3029 0.0301  1 Bi 2.74
Cl: 0.8339 0.0839 0.7500  2 Bi 2.77
Cl: 0.2273 0.6927 0.5301  1 Bi 2.74
Cl: 0.1661 0.9161 0.2500  2 Bi 2.77
Cl: 0.7727 0.3073 0.4699  1 Bi 2.74
Cl: 0.3770 0.2307 0.6165  1 Bi 2.68
Cl: 0.8858 0.2395 0.1165  1 Bi 2.68
Cl: 0.6626 0.6971 0.9699  1 Bi 2.74

Values from the calculation:
- E_form (uncorrected): -1.612 eV/atom
- N(E_F): 0.0 states/eV/cell

***

Material: Ba2Bi2Cl
Method: DFT, PBE
State: relaxed

Lattice parameters (Å, degrees): 8.7122 8.7122 5.3837 90.00 90.00 90.00
Closest atoms and distances in Å follow each position.
Fractional coordinates of all 10 atoms:
Cl: 0.5000 0.5000 0.0000  4 Ba 3.21
Cl: 0.0000 0.0000 0.0000  4 Ba 3.21
Bi: 0.1201 0.6201 0.5000  1 Bi 2.96
Bi: 0.8799 0.3799 0.5000  1 Bi 2.96
Bi: 0.3799 0.1201 0.5000  1 Bi 2.96
Bi: 0.6201 0.8799 0.5000  1 Bi 2.96
Ba: 0.8229 0.6771 0.0000  2 Cl 3.21
Ba: 0.6771 0.1771 0.0000  2 Cl 3.21
Ba: 0.3229 0.8229 0.0000  2 Cl 3.21
Ba: 0.1771 0.3229 0.0000  2 Cl 3.21

Values from the calculation:
- E_form (uncorrected): -1.177 eV/atom
- N(E_F): 5.3 states/eV/cell

***

Material: BaBiCl3
Method: DFT, PBE
State: relaxed

Lattice parameters (Å, degrees): 5.7320 5.7320 5.7320 90.00 90.00 90.00
Closest atoms and distances in Å follow each position.
Fractional coordinates of all 5 atoms:
Cl: 0.0000 0.0000 0.5000  2 Bi 2.87
Cl: 0.5000 0.0000 0.0000  2 Bi 2.87
Cl: 0.0000 0.5000 0.0000  2 Bi 2.87
Ba: 0.5000 0.5000 0.5000  12 Cl 4.05
Bi: 0.0000 0.0000 0.0000  6 Cl 2.87

Values from the calculation:
- E_form (uncorrected): -1.004 eV/atom
- N(E_F): 3.6 states/eV/cell